*a*
The following is a DFT calculation (PBE-GGA) of RbCu2Pb2 after structural relaxation.

POSCAR file:
```
RbCu2Pb2
1.0
-4.011 -0.131 2.729
2.732 -0.189 4.006
-0.641 5.879 3.654
Rb Pb Cu
1 2 2
Direct
0.000 0.000 0.000 Rb
0.651 0.651 0.699 Pb
0.349 0.349 0.301 Pb
0.250 0.750 0.500 Cu
0.750 0.250 0.500 Cu
```

The value obtained for the mass density is 7.3 g/cm³.

*b*
The following is a DFT calculation (PBE-GGA) of RbCu2Pb2 after structural relaxation.

POSCAR file:
```
RbCu2Pb2
1.0
-3.434 7.485 3.688
-7.780 -4.314 1.509
1.060 -0.916 2.846
Pb Cu Rb
4 4 2
Direct
0.136 0.364 0.000 Pb
0.864 0.636 0.000 Pb
0.636 0.136 0.000 Pb
0.364 0.864 0.000 Pb
0.856 0.356 0.500 Cu
0.644 0.856 0.500 Cu
0.144 0.644 0.500 Cu
0.356 0.144 0.500 Cu
0.500 0.500 0.000 Rb
0.000 0.000 0.000 Rb
```

The value obtained for the mass density is 8.1 g/cm³.

*c*
The following is a DFT calculation (PBE-GGA) of RbCu2Pb2 after structural relaxation.

POSCAR file:
```
RbCu2Pb2
1.0
4.879 0.000 0.000
0.000 4.879 0.000
2.439 2.439 5.709
Pb Cu Rb
2 2 1
Direct
0.750 0.250 0.500 Pb
0.250 0.750 0.500 Pb
0.384 0.384 0.233 Cu
0.616 0.616 0.767 Cu
0.000 0.000 0.000 Rb
```

The value obtained for the mass density is 7.7 g/cm³.

*d*
The following is a DFT calculation (PBE-GGA) of RbCu2Pb2 after structural relaxation.

POSCAR file:
```
RbCu2Pb2
1.0
8.841 0.000 0.000
0.000 8.841 0.000
0.000 0.000 3.303
Pb Cu Rb
4 4 2
Direct
0.650 0.850 0.500 Pb
0.150 0.650 0.500 Pb
0.350 0.150 0.500 Pb
0.850 0.350 0.500 Pb
0.881 0.619 0.000 Cu
0.119 0.381 0.000 Cu
0.381 0.881 0.000 Cu
0.619 0.119 0.000 Cu
0.000 0.000 0.000 Rb
0.500 0.500 0.000 Rb
```

The value obtained for the mass density is 8.1 g/cm³.

*a* is favored, and the nearest alternative lies 0.058 eV/atom above it.

*a*
The following is a DFT calculation (PBE-GGA) of RbCu3Pb after structural relaxation.

POSCAR file:
```
RbCu3Pb
1.0
-1.007 5.084 1.324
-4.248 -1.581 2.840
3.090 -0.517 4.335
Rb Cu Pb
1 3 1
Direct
0.000 0.000 0.000 Rb
0.000 0.500 0.000 Cu
0.000 0.000 0.500 Cu
0.500 0.000 0.000 Cu
0.500 0.500 0.500 Pb
```

The value obtained for the mass density is 5.2 g/cm³.

*b*
The following is a DFT calculation (PBE-GGA) of RbCu3Pb after structural relaxation.

POSCAR file:
```
RbCu3Pb
1.0
-3.574 -2.269 -2.958
1.387 -4.613 1.863
-3.460 0.495 3.802
Cu Pb Rb
3 1 1
Direct
0.500 0.000 0.000 Cu
0.000 0.500 0.000 Cu
0.000 0.000 0.500 Cu
0.000 0.000 0.000 Pb
0.500 0.500 0.500 Rb
```

The value obtained for the mass density is 5.8 g/cm³.

*b* is favored, and the nearest alternative lies 1.054 eV/atom above it.